1.
This record from Alexandria via LeMat-Bulk describes an optimized crystal structure of NiMo2Cl. The functional is PBE-GGA.

Uncorrected formation energy: 0.687 eV per atom
Energy above the lowest structure with this stoichiometry: 476 meV/atom
SG: C2/m
ρ: 8.1 g/cm3
DOS at the Fermi energy: 1.128 states/eV per atom

Cell: 4.9441 4.9441 2.7636 Å, 99.95 99.95 113.73°
Sites, in units of the cell vectors:
Ni1 0.0000 0.0000 0.0000
Mo1 0.0000 0.5000 0.5000
Mo2 0.5000 0.0000 0.5000
Cl1 0.5000 0.5000 0.0000

***

2.
This record from Alexandria via LeMat-Bulk describes an optimized crystal structure of BeGeMo2C. The functional is PBE-GGA.

SG: P4/mmm
ρ: 7.7 g/cm3
Formation energy from the elements: 0.025 eV/atom
DOS at the Fermi energy: 0.601 states/eV per atom

Cell: 4.2886 4.2886 3.3478 Å, 90.00 90.00 90.00°
Sites, in units of the cell vectors:
Be1 0.0000 0.0000 0.0000
Ge1 0.5000 0.5000 0.0000
Mo1 0.0000 0.5000 0.5000
Mo2 0.5000 0.0000 0.5000
C1 0.0000 0.0000 0.5000

***

3.
This record from Alexandria via LeMat-Bulk describes an optimized crystal structure of Ir2AuBr. The functional is PBE-GGA.

Uncorrected formation energy: 1.055 eV per atom
Energy above the lowest structure with this stoichiometry: 601 meV/atom
SG: Cmmm
ρ: 16.4 g/cm3
DOS at the Fermi energy: 1.440 states/eV per atom

Cell: 4.8686 4.8686 2.9102 Å, 90.00 90.00 103.27°
Sites, in units of the cell vectors:
Ir1 0.0000 0.5000 0.0000
Ir2 0.5000 0.0000 0.0000
Au1 0.0000 0.0000 0.5000
Br1 0.5000 0.5000 0.5000

***

Number 1: energy -6.635 eV/atom. Number 2: energy -7.821 eV/atom. Number 3: energy -4.613 eV/atom.